Material: CaPrMgSc
Method: DFT, PBE-GGA
State: optimized geometry

Cell: 7.872 7.872 7.872 Å, 90.00 90.00 90.00°
Space group F-43m (No. 216)
Unique sites:
Ca1 0.000 0.000 0.000
Pr1 0.000 0.000 0.500
Mg1 0.250 0.250 0.750
Sc1 0.250 0.250 0.250

The calculation puts the calculated density at 3.41 g/cm³. For the uncorrected energy, the calculation gives -3.587 eV per atom. As for the formation energy: 0.090 eV per atom. The total magnetization comes out at 0.000 μB/atom.

=====

Material: TlZnHgMo2
Method: DFT, PBE-GGA
State: optimized geometry

Cell: 4.833 4.833 4.802 Å, 90.00 90.00 90.00°
Space group P4/mmm (No. 123)
Unique sites:
Tl1 0.000 0.000 0.000
Zn1 0.500 0.500 0.500
Hg1 0.500 0.500 0.000
Mo1 0.000 0.500 0.500

The calculation puts the calculated density at 9.80 g/cm³. For the uncorrected energy, the calculation gives -3.710 eV per atom. As for the formation energy: 1.410 eV per atom. The total magnetization comes out at 0.831 μB/atom.

=====

Material: Li2PuTl4
Method: DFT, PBE-GGA
State: optimized geometry

Cell: 5.952 5.952 12.261 Å, 90.00 90.00 90.00°
Space group I4/mmm (No. 139)
Unique sites:
Li1 0.000 0.000 0.128
Pu1 0.000 0.000 0.500
Tl1 0.000 0.500 0.000
Tl2 0.000 0.500 0.250

The calculation puts the calculated density at 8.22 g/cm³. For the uncorrected energy, the calculation gives -3.729 eV per atom. As for the formation energy: 0.218 eV per atom. The total magnetization comes out at 0.894 μB/atom.

=====

Material: TmTi2As4
Method: DFT, PBE-GGA
State: optimized geometry

Cell: 3.738 12.275 12.405 Å, 90.00 90.00 90.00°
Space group Cmcm (No. 63)
Unique sites:
Tm1 0.000 0.113 0.250
Ti1 0.000 0.368 0.058
As1 0.000 0.000 0.000
As2 0.000 0.261 0.623
As3 0.000 0.437 0.250

The calculation puts the calculated density at 6.59 g/cm³. For the uncorrected energy, the calculation gives -6.338 eV per atom. As for the formation energy: -0.787 eV per atom. The total magnetization comes out at 0.000 μB/atom.

=====

Material: Cs12K6O
Method: DFT, PBE-GGA
State: optimized geometry

Cell: 20.6737 20.6737 15.2320 Å, 90.00 90.00 120.00°
Space group R-3 (No. 148, hexagonal axes)
Unique sites:
Cs1 0.0269 0.8954 0.3928
Cs2 0.0783 0.5883 0.7653
K1 0.0495 0.7911 0.7656
O1 0.0000 0.0000 0.5000

The calculation puts the calculated density at 1.63 g/cm³. For the uncorrected energy, the calculation gives -1.246 eV per atom. As for the energy relative to the elements, uncorrected: -1.88 eV per formula unit. The total magnetization comes out at 0.000 μB/atom.

=====

Material: Sm2ErScP4
Method: DFT, PBE-GGA
State: optimized geometry

Cell: 6.899 3.995 6.911 Å, 90.00 109.51 90.00°
Space group P2/m (No. 10)
Unique sites:
Sm1 0.000 0.000 0.000
Sm2 0.000 0.500 0.500
Er1 0.500 0.000 0.500
Sc1 0.500 0.500 0.000
P1 0.263 0.500 0.249
P2 0.267 0.000 0.761

The calculation puts the calculated density at 5.89 g/cm³. For the uncorrected energy, the calculation gives -6.782 eV per atom. As for the formation energy: -1.536 eV per atom. The total magnetization comes out at 0.000 μB/atom.

=====

Material: AcGd2Er
Method: DFT, PBE-GGA
State: optimized geometry

Cell: 3.6000 3.6000 38.0216 Å, 90.00 90.00 120.00°
Space group R-3m (No. 166, hexagonal axes)
Unique sites:
Ac1 0.0000 0.0000 0.0000
Gd1 0.0000 0.0000 0.0929
Er1 0.0000 0.0000 0.5000

The calculation puts the calculated density at 8.27 g/cm³. Its energy relative to the lowest polymorph listed for this composition is 125.3 meV per atom. For the uncorrected energy, the calculation gives -9.036 eV per atom. As for the formation energy: 0.173 eV per atom. The total magnetization comes out at 3.741 μB/atom.

=====

Material: Sr3Be2PbO6
Method: DFT, PBE-GGA
State: optimized geometry

Cell: 5.7230 5.7230 6.9559 Å, 90.00 90.00 120.00°
Space group P-3m1 (No. 164)
Unique sites:
Sr1 0.0000 0.0000 0.0000
Sr2 0.3333 0.6667 0.7453
Be1 0.3333 0.6667 0.2466
Pb1 0.0000 0.0000 0.5000
O1 0.1789 0.3578 0.2449

The calculation puts the calculated density at 4.92 g/cm³. For the uncorrected energy, the calculation gives -6.077 eV per atom. As for the energy relative to the elements, uncorrected: -26.97 eV per formula unit. The total magnetization comes out at 0.000 μB/atom.